# KNa3Si

A relaxed KNa3Si crystal (PBE, Alexandria via LeMat-Bulk).

The value obtained for the calculated volume is 37.968 A^3/atom. Its energy relative to the lowest polymorph listed for this composition is 41 meV per atom. Its size of the total moment is 0.00 μB/cell. The value obtained for the uncorrected formation energy is 0.125 eV/atom.

It has space group Pm-3m (No. 221), with a = 5.747 Å, b = 5.747 Å, c = 5.747 Å, α = 90.00°, β = 90.00° and γ = 90.00°. Symmetry generates all atoms from K at (0.000, 0.000, 0.000), Na at (0.000, 0.500, 0.500) and Si at (0.500, 0.500, 0.500).

# KNa3Si

A relaxed KNa3Si crystal (PBE, Alexandria via LeMat-Bulk).

The value obtained for the calculated volume is 38.788 A^3/atom. Its energy relative to the lowest polymorph listed for this composition is 834 meV per atom. Its size of the total moment is 0.00 μB/cell. The value obtained for the uncorrected formation energy is 0.918 eV/atom.

It has space group Pm-3m (No. 221), with a = 5.788 Å, b = 5.788 Å, c = 5.788 Å, α = 90.00°, β = 90.00° and γ = 90.00°. Symmetry generates all atoms from K at (0.000, 0.000, 0.000), Na at (0.000, 0.000, 0.500) and Si at (0.500, 0.500, 0.500).

# KNa3Si

A relaxed KNa3Si crystal (PBE, Alexandria via LeMat-Bulk).

The value obtained for the calculated volume is 35.362 A^3/atom. Its energy relative to the lowest polymorph listed for this composition is 0 meV per atom. Its size of the total moment is 0.00 μB/cell. The value obtained for the uncorrected formation energy is 0.084 eV/atom.

It has space group C2/c (No. 15), with a = 17.980 Å, b = 11.117 Å, c = 7.224 Å, α = 90.00°, β = 101.58° and γ = 90.00°. Symmetry generates all atoms from K at (0.000, 0.048, 0.250), K at (0.000, 0.363, 0.750), Na at (0.168, 0.499, 0.080), Na at (0.171, 0.173, 0.581), Na at (0.173, 0.174, 0.090) and Si at (0.064, 0.338, 0.277).

# K2Na2Si3

A relaxed K2Na2Si3 crystal (PBE, Alexandria via LeMat-Bulk).

The value obtained for the calculated volume is 26.633 A^3/atom. Its size of the total moment is 0.00 μB/cell. The value obtained for the uncorrected formation energy is 0.131 eV/atom.

It has space group C2/m (No. 12), with a = 10.947 Å, b = 5.335 Å, c = 6.862 Å, α = 90.00°, β = 111.50° and γ = 90.00°. Symmetry generates all atoms from K at (0.150, 0.000, 0.413), Na at (0.171, 0.000, 0.935), Si at (0.000, 0.500, 0.000) and Si at (0.058, 0.500, 0.692).